[1]
A plane-wave DFT calculation with PBE-GGA was carried out for Er2Tm6ZrSc3 after structural relaxation.

Properties
calculated formation energy: 67 kJ/mol of formula units

```
Er2Tm6ZrSc3
1.0
-3.531 1.283 4.561
4.599 -3.631 0.762
6.060 9.435 0.765
Tm Er Sc Zr
6 2 3 1
Direct
0.587 0.915 0.747 Tm
0.413 0.085 0.253 Tm
0.757 0.757 0.252 Tm
0.085 0.413 0.253 Tm
0.243 0.243 0.748 Tm
0.915 0.587 0.747 Tm
0.667 0.333 0.000 Er
0.333 0.667 0.000 Er
0.833 0.167 0.500 Sc
0.500 0.500 0.500 Sc
0.167 0.833 0.500 Sc
0.000 0.000 0.000 Zr
```

***

[2]
A plane-wave DFT calculation with PBE-GGA was carried out for ErTmZrSc after structural relaxation.

Properties
distance to the lowest polymorph of the same formula: 116 meV/atom
calculated formation energy: 70 kJ/mol of formula units

```
ErTmZrSc
1.0
5.331 0.000 0.000
2.665 4.617 0.000
2.665 1.539 4.353
Tm Er Zr Sc
1 1 1 1
Direct
0.500 0.500 0.500 Tm
0.250 0.250 0.250 Er
0.750 0.750 0.750 Zr
0.000 0.000 0.000 Sc
```

***

[3]
A plane-wave DFT calculation with PBE-GGA was carried out for ErSc2V after structural relaxation.

Properties
distance to the lowest polymorph of the same formula: 0 meV/atom
calculated formation energy: 66 kJ/mol of formula units

```
ErSc2V
1.0
-3.324 0.220 0.837
-0.847 -0.148 -3.325
-0.411 -7.962 0.458
Sc Er V
2 1 1
Direct
0.000 0.000 0.802 Sc
0.000 0.000 0.198 Sc
0.500 0.500 0.500 Er
0.500 0.500 0.000 V
```

***

[4]
A plane-wave DFT calculation with PBE-GGA was carried out for ErScV4 after structural relaxation.

Properties
calculated formation energy: 167 kJ/mol of formula units

```
ErScV4
1.0
5.334 0.000 0.000
2.667 4.620 0.000
2.667 1.540 4.355
V Sc Er
4 1 1
Direct
0.625 0.625 0.124 V
0.625 0.625 0.625 V
0.625 0.124 0.625 V
0.124 0.625 0.625 V
0.000 0.000 0.000 Sc
0.250 0.250 0.250 Er
```

***

[5]
A plane-wave DFT calculation with PBE-GGA was carried out for Er2ScV after structural relaxation.

Properties
calculated formation energy: 227 kJ/mol of formula units

```
Er2ScV
1.0
3.273 0.000 0.000
1.636 2.834 0.000
1.636 0.945 11.072
Sc V Er
1 1 2
Direct
0.500 0.500 0.500 Sc
0.000 0.000 0.000 V
0.085 0.085 0.746 Er
0.915 0.915 0.254 Er
```

***

[6]
A plane-wave DFT calculation with PBE-GGA was carried out for ErSc2V after structural relaxation.

Properties
distance to the lowest polymorph of the same formula: 368 meV/atom
calculated formation energy: 208 kJ/mol of formula units

```
ErSc2V
1.0
3.178 0.000 0.000
1.589 2.752 0.000
1.589 0.917 10.782
V Er Sc
1 1 2
Direct
0.000 0.000 0.000 V
0.500 0.500 0.500 Er
0.919 0.919 0.242 Sc
0.081 0.081 0.758 Sc
```

***

[7]
A plane-wave DFT calculation with PBE-GGA was carried out for Y2Er5Sc2 after structural relaxation.

Properties
distance to the lowest polymorph of the same formula: 152 meV/atom
calculated formation energy: 226 kJ/mol of formula units

```
Y2Er5Sc2
1.0
8.996 0.000 0.000
0.000 8.496 0.000
-4.498 -4.248 7.201
Er Y Sc
10 4 4
Direct
0.819 0.813 0.099 Er
0.416 0.177 0.707 Er
0.791 0.677 0.707 Er
0.969 0.804 0.500 Er
0.209 0.970 0.293 Er
0.584 0.470 0.293 Er
0.220 0.214 0.901 Er
0.780 0.313 0.099 Er
0.181 0.714 0.901 Er
0.031 0.304 0.500 Er
0.185 0.564 0.235 Y
0.549 0.064 0.235 Y
0.451 0.829 0.765 Y
0.815 0.329 0.765 Y
0.500 0.577 0.000 Sc
0.000 0.077 0.000 Sc
0.592 0.889 0.500 Sc
0.408 0.389 0.500 Sc
```

***

[8]
A plane-wave DFT calculation with PBE-GGA was carried out for Y6ErSc2 after structural relaxation.

Properties
distance to the lowest polymorph of the same formula: 0 meV/atom
calculated formation energy: 69 kJ/mol of formula units

```
Y6ErSc2
1.0
-2.630 4.592 -1.597
2.204 1.883 11.338
9.478 4.036 5.551
Y Sc Er
12 4 2
Direct
0.655 0.998 0.831 Y
0.919 0.920 0.419 Y
0.175 0.497 0.331 Y
0.155 0.831 0.998 Y
0.081 0.080 0.581 Y
0.825 0.503 0.669 Y
0.581 0.581 0.080 Y
0.675 0.331 0.497 Y
0.845 0.169 0.002 Y
0.345 0.002 0.169 Y
0.419 0.419 0.920 Y
0.325 0.669 0.503 Y
0.492 0.167 0.333 Sc
0.008 0.667 0.833 Sc
0.992 0.333 0.167 Sc
0.508 0.833 0.667 Sc
0.750 0.750 0.250 Er
0.250 0.250 0.750 Er
```